Compound: NaHg3C
Source: Alexandria
Functional: SCAN
Structure: PBEsol geometry

E_form ... 7.07 eV per formula unit

abc: 5.612 5.612 5.612
angles: 90.00 90.00 90.00
Last column: magnetic moment on the atom in μB.
Element x y z (fractional)
Hg (0.000, 0.500, 0.000)  0.03
Hg (0.000, 0.000, 0.500)  0.03
Hg (0.500, 0.000, 0.000)  0.03
Na (0.000, 0.000, 0.000)  0.01
C (0.500, 0.500, 0.500)  1.10

Compound: Na2SrHgC
Source: Alexandria
Functional: SCAN
Structure: PBEsol geometry

E_form ... 4.24 eV per formula unit

abc: 4.105 5.804 5.804
angles: 90.00 90.00 90.00
Element x y z (fractional)
Sr (0.500, 0.500, 0.500)
Na (0.000, 0.000, 0.500)
Na (0.000, 0.500, 0.000)
C (0.500, 0.000, 0.000)
Hg (0.000, 0.000, 0.000)

Compound: NaHgTeC2
Source: Alexandria
Functional: SCAN
Structure: PBEsol geometry

E_form (uncorrected) ... 12.83 eV per formula unit

abc: 4.381 4.381 5.628
angles: 90.00 90.00 90.00
Last column: magnetic moment on the atom in μB.
Element x y z (fractional)
C (0.500, 0.000, 0.000)  1.04
C (0.000, 0.500, 0.000)  1.04
Na (0.000, 0.000, 0.000)  0.08
Hg (0.500, 0.500, 0.500)  0.03
Te (0.000, 0.000, 0.500)  -0.08

Compound: NbHg3C
Source: Alexandria
Functional: SCAN
Structure: PBEsol geometry

E_form ... 7.54 eV per formula unit

abc: 4.505 4.505 4.505
angles: 90.00 90.00 90.00
Element x y z (fractional)
Hg (0.000, 0.000, 0.500)
Hg (0.000, 0.500, 0.000)
Hg (0.500, 0.000, 0.000)
C (0.000, 0.000, 0.000)
Nb (0.500, 0.500, 0.500)

Compound: NbHgCO2
Source: Alexandria
Functional: SCAN
Structure: PBEsol geometry

E_form (uncorrected) ... 5.00 eV per formula unit

abc: 3.926 3.926 4.163
angles: 90.00 90.00 90.00
Element x y z (fractional)
O (0.000, 0.500, 0.000)
O (0.500, 0.000, 0.000)
C (0.000, 0.000, 0.000)
Nb (0.000, 0.000, 0.500)
Hg (0.500, 0.500, 0.500)

Compound: NiHgC2
Source: Alexandria
Functional: SCAN
Structure: PBEsol geometry

E_form ... 6.31 eV per formula unit

abc: 4.813 4.813 5.613
angles: 115.39 115.39 90.00
Element x y z (fractional)
Hg (0.250, 0.750, 0.500)
Hg (0.000, 0.000, 0.000)
C (0.458, 0.875, 0.250)
C (0.625, 0.542, 0.750)
C (0.792, 0.375, 0.250)
C (0.125, 0.208, 0.750)
Ni (0.750, 0.250, 0.500)
Ni (0.500, 0.500, 0.000)

Compound: Zr2NiHgC
Source: Alexandria
Functional: SCAN
Structure: PBEsol geometry

E_form ... 10.55 eV per formula unit

abc: 4.494 5.129 5.129
angles: 90.00 90.00 90.00
Element x y z (fractional)
C (0.500, 0.500, 0.500)
Zr (0.000, 0.000, 0.500)
Zr (0.000, 0.500, 0.000)
Hg (0.000, 0.000, 0.000)
Ni (0.500, 0.000, 0.000)

Compound: HgCO2
Source: Alexandria
Functional: SCAN
Structure: PBEsol geometry

E_form (uncorrected) ... -3.51 eV per formula unit

abc: 3.403 3.403 9.114
angles: 79.24 79.24 60.00
Element x y z (fractional)
O (0.044, 0.044, 0.868)
O (0.956, 0.956, 0.132)
C (0.000, 0.000, 0.000)
Hg (0.500, 0.500, 0.500)

Compound: Hg2PdCO
Source: Alexandria
Functional: SCAN
Structure: PBEsol geometry

E_form (uncorrected) ... 7.24 eV per formula unit

abc: 4.043 4.586 4.586
angles: 90.00 90.00 90.00
Last column: magnetic moment on the atom in μB.
Element x y z (fractional)
Pd (0.500, 0.000, 0.000)  0.01
Hg (0.000, 0.000, 0.500)  0.01
Hg (0.000, 0.500, 0.000)  0.01
O (0.000, 0.000, 0.000)  0.09
C (0.500, 0.500, 0.500)  0.74

Compound: ScHg2CO
Source: Alexandria
Functional: SCAN
Structure: PBEsol geometry

E_form (uncorrected) ... 5.79 eV per formula unit

abc: 4.288 4.466 4.466
angles: 90.00 90.00 90.00
Element x y z (fractional)
C (0.500, 0.000, 0.000)
O (0.000, 0.000, 0.000)
Sc (0.500, 0.500, 0.500)
Hg (0.000, 0.500, 0.000)
Hg (0.000, 0.000, 0.500)

Compound: Hg3OsC
Source: Alexandria
Functional: SCAN
Structure: PBEsol geometry

E_form ... 10.57 eV per formula unit

abc: 5.173 5.173 5.173
angles: 90.00 90.00 90.00
Last column: magnetic moment on the atom in μB.
Element x y z (fractional)
Hg (0.000, 0.500, 0.000)  -0.04
Hg (0.000, 0.000, 0.500)  -0.04
Hg (0.500, 0.000, 0.000)  -0.04
C (0.500, 0.500, 0.500)  1.02
Os (0.000, 0.000, 0.000)  -1.51

Compound: Hg2PC
Source: Alexandria
Functional: SCAN
Structure: PBEsol geometry

E_form ... 7.49 eV per formula unit

abc: 4.551 4.551 4.551
angles: 60.00 60.00 60.00
Element x y z (fractional)
Hg (0.250, 0.250, 0.250)
Hg (0.750, 0.750, 0.750)
P (0.500, 0.500, 0.500)
C (0.000, 0.000, 0.000)

Compound: HgP2C
Source: Alexandria
Functional: SCAN
Structure: PBEsol geometry

E_form ... 8.22 eV per formula unit

abc: 4.393 4.393 4.393
angles: 60.00 60.00 60.00
Element x y z (fractional)
P (0.250, 0.250, 0.250)
P (0.750, 0.750, 0.750)
C (0.000, 0.000, 0.000)
Hg (0.500, 0.500, 0.500)

Compound: RbHg2PbC
Source: Alexandria
Functional: SCAN
Structure: PBEsol geometry

E_form ... 4.50 eV per formula unit

abc: 4.323 6.149 6.149
angles: 90.00 90.00 90.00
Element x y z (fractional)
Rb (0.500, 0.500, 0.500)
Hg (0.000, 0.500, 0.000)
Hg (0.000, 0.000, 0.500)
C (0.500, 0.000, 0.000)
Pb (0.000, 0.000, 0.000)

Compound: HgPd2C
Source: Alexandria
Functional: SCAN
Structure: PBEsol geometry

E_form ... 5.03 eV per formula unit

abc: 4.340 4.340 4.340
angles: 60.00 60.00 60.00
Element x y z (fractional)
C (0.000, 0.000, 0.000)
Hg (0.500, 0.500, 0.500)
Pd (0.750, 0.750, 0.750)
Pd (0.250, 0.250, 0.250)

Compound: Re3HgC
Source: Alexandria
Functional: SCAN
Structure: PBEsol geometry

E_form ... 23.99 eV per formula unit

abc: 4.858 4.858 4.858
angles: 90.00 90.00 90.00
Last column: magnetic moment on the atom in μB.
Element x y z (fractional)
Re (0.000, 0.000, 0.500)  1.37
Re (0.000, 0.500, 0.000)  1.37
Re (0.500, 0.000, 0.000)  1.37
C (0.500, 0.500, 0.500)  -0.64
Hg (0.000, 0.000, 0.000)  0.12

Compound: Ti2HgRhC
Source: Alexandria
Functional: SCAN
Structure: PBEsol geometry

E_form ... 2.79 eV per formula unit

abc: 3.768 4.849 4.849
angles: 90.00 90.00 90.00
Last column: magnetic moment on the atom in μB.
Element x y z (fractional)
Ti (0.000, 0.000, 0.500)  1.18
Ti (0.000, 0.500, 0.000)  1.18
Rh (0.000, 0.000, 0.000)  -0.02
C (0.500, 0.000, 0.000)  -0.03
Hg (0.500, 0.500, 0.500)  0.09

Compound: HgRu2CS
Source: Alexandria
Functional: SCAN
Structure: PBEsol geometry

E_form (uncorrected) ... 10.03 eV per formula unit

abc: 4.236 4.236 4.897
angles: 90.00 90.00 90.00
Last column: magnetic moment on the atom in μB.
Element x y z (fractional)
Ru (0.000, 0.500, 0.000)  -0.65
Ru (0.500, 0.000, 0.000)  -0.65
S (0.000, 0.000, 0.000)  0.04
Hg (0.000, 0.000, 0.500)  0.00
C (0.500, 0.500, 0.500)  0.67

Compound: Hg2CS
Source: Alexandria
Functional: SCAN
Structure: PBEsol geometry

E_form (uncorrected) ... 4.34 eV per formula unit

abc: 5.706 6.407 5.706
angles: 63.55 90.00 116.45
Element x y z (fractional)
C (0.250, 0.500, 0.250)
C (0.500, 0.000, 0.500)
Hg (0.375, 0.250, 0.189)
Hg (0.561, 0.750, 0.375)
Hg (0.189, 0.750, 0.875)
Hg (0.875, 0.250, 0.561)
S (0.750, 0.500, 0.750)
S (0.000, 0.000, 0.000)

Compound: SiHg2CS
Source: Alexandria
Functional: SCAN
Structure: PBEsol geometry

E_form (uncorrected) ... 5.18 eV per formula unit

abc: 3.750 4.864 4.864
angles: 90.00 90.00 90.00
Element x y z (fractional)
Si (0.500, 0.000, 0.000)
Hg (0.000, 0.500, 0.000)
Hg (0.000, 0.000, 0.500)
S (0.500, 0.500, 0.500)
C (0.000, 0.000, 0.000)